1.
This record from Alexandria describes a relaxed TbPuRhAu crystal. The functional is PBE.

Distance to the lowest polymorph of the same formula, meV per atom: 0
Raw total energy, eV per cell: -32.06
Calculated volume, Å³ per atom: 22.08

Cell: 3.455 3.455 7.400 Å, 90.00 90.00 90.00°
Fractional positions:
Pu 0.000 0.000 0.835
Au 0.500 0.500 0.118
Rh 0.500 0.500 0.602
Tb 0.000 0.000 0.374

---

2.
This record from Alexandria describes a relaxed TbPuRhAu crystal. The functional is PBE.

Distance to the lowest polymorph of the same formula, meV per atom: 59
Raw total energy, eV per cell: -31.82
Calculated volume, Å³ per atom: 22.14

Cell: 5.003 5.003 5.003 Å, 60.00 60.00 60.00°
Fractional positions:
Rh 0.500 0.500 0.500
Tb 0.750 0.750 0.750
Au 0.000 0.000 0.000
Pu 0.250 0.250 0.250

---

3.
This record from Alexandria describes a relaxed Pu4TlRhAu2 crystal. The functional is PBE.

Raw total energy, eV per cell: -75.96
Calculated volume, Å³ per atom: 24.04

Cell: 5.194 5.194 8.761 Å, 72.76 72.76 60.00°
Fractional positions:
Rh 0.500 0.500 0.500
Tl 0.000 0.000 0.000
Au 0.263 0.263 0.210
Au 0.737 0.737 0.790
Pu 0.138 0.138 0.587
Pu 0.862 0.862 0.413
Pu 0.390 0.390 0.829
Pu 0.610 0.610 0.171

---

4.
This record from Alexandria describes a relaxed PuTlRhAu crystal. The functional is PBE.

Raw total energy, eV per cell: -28.00
Calculated volume, Å³ per atom: 21.12

Cell: 4.925 4.925 4.925 Å, 60.00 60.00 60.00°
Fractional positions:
Tl 0.250 0.250 0.250
Rh 0.500 0.500 0.500
Au 0.000 0.000 0.000
Pu 0.750 0.750 0.750

---

5.
This record from Alexandria describes a relaxed TmPuRhAu crystal. The functional is PBE.

Raw total energy, eV per cell: -31.75
Calculated volume, Å³ per atom: 21.63

Cell: 4.964 4.964 4.964 Å, 60.00 60.00 60.00°
Fractional positions:
Au 0.750 0.750 0.750
Tm 0.000 0.000 0.000
Pu 0.500 0.500 0.500
Rh 0.250 0.250 0.250

---

6.
This record from Alexandria describes a relaxed YPuRhAu crystal. The functional is PBE.

Raw total energy, eV per cell: -33.64
Calculated volume, Å³ per atom: 22.13

Cell: 5.002 5.002 5.002 Å, 60.00 60.00 60.00°
Fractional positions:
Au 0.000 0.000 0.000
Pu 0.750 0.750 0.750
Rh 0.500 0.500 0.500
Y 0.250 0.250 0.250

---

7.
This record from Alexandria describes a relaxed PuZnRhAu crystal. The functional is PBE.

Raw total energy, eV per cell: -27.33
Calculated volume, Å³ per atom: 18.94

Cell: 4.750 4.750 4.750 Å, 60.00 60.00 60.00°
Fractional positions:
Pu 0.500 0.500 0.500
Au 0.250 0.250 0.250
Zn 0.000 0.000 0.000
Rh 0.750 0.750 0.750

---

8.
This record from Alexandria describes a relaxed Pu12Ru7Au crystal. The functional is PBE.

Raw total energy, eV per cell: -238.38
Calculated volume, Å³ per atom: 24.97

Cell: 8.657 8.657 8.657 Å, 109.47 109.47 109.47°
Fractional positions:
Pu 0.311 0.187 0.498
Pu 0.813 0.502 0.689
Pu 0.311 0.813 0.124
Pu 0.876 0.689 0.187
Pu 0.187 0.876 0.689
Pu 0.498 0.311 0.187
Pu 0.124 0.311 0.813
Pu 0.689 0.813 0.502
Pu 0.689 0.187 0.876
Pu 0.502 0.689 0.813
Pu 0.187 0.498 0.311
Pu 0.813 0.124 0.311
Ru 0.000 0.500 0.500
Ru 0.500 0.000 0.500
Ru 0.500 0.500 0.000
Ru 0.500 0.500 0.500
Ru 0.000 0.000 0.500
Ru 0.500 0.000 0.000
Ru 0.000 0.500 0.000
Au 0.000 0.000 0.000

---

9.
This record from Alexandria describes a relaxed Pu6Ru3Au crystal. The functional is PBE.

Raw total energy, eV per cell: -118.37
Calculated volume, Å³ per atom: 21.98

Cell: 8.217 8.217 6.053 Å, 47.25 47.25 60.00°
Fractional positions:
Ru 0.400 0.400 0.800
Ru 0.649 0.649 0.052
Ru 0.151 0.151 0.548
Pu 0.539 0.261 0.300
Pu 0.261 0.900 0.300
Pu 0.741 0.059 0.800
Pu 0.059 0.400 0.800
Pu 0.400 0.741 0.800
Pu 0.900 0.539 0.300
Au 0.900 0.900 0.300

---

10.
This record from Alexandria describes a relaxed Pu6Ru5Au crystal. The functional is PBE.

Distance to the lowest polymorph of the same formula, meV per atom: 98
Raw total energy, eV per cell: -136.34
Calculated volume, Å³ per atom: 19.71

Cell: 9.417 5.083 6.391 Å, 66.74 77.79 57.33°
Fractional positions:
Pu 0.782 0.717 0.001
Pu 0.277 0.898 0.648
Pu 0.218 0.283 0.999
Pu 0.723 0.102 0.352
Pu 0.283 0.536 0.361
Pu 0.717 0.464 0.639
Ru 0.993 0.326 0.362
Ru 0.496 0.875 0.259
Ru 0.500 0.500 0.000
Ru 0.504 0.125 0.741
Ru 0.007 0.674 0.638
Au 0.000 0.000 0.000

---

11.
This record from Alexandria describes a relaxed PuRuAu crystal. The functional is PBE.

Distance to the lowest polymorph of the same formula, meV per atom: 160
Raw total energy, eV per cell: -52.95
Calculated volume, Å³ per atom: 17.15

Cell: 3.271 3.271 11.247 Å, 111.78 111.78 88.34°
Fractional positions:
Ru 0.595 0.595 0.764
Ru 0.405 0.405 0.236
Au 0.140 0.140 0.413
Au 0.860 0.860 0.587
Pu 0.792 0.792 0.079
Pu 0.208 0.208 0.921

---

12.
This record from Alexandria describes a relaxed Pu6Ru5Au crystal. The functional is PBE.

Distance to the lowest polymorph of the same formula, meV per atom: 0
Raw total energy, eV per cell: -137.52
Calculated volume, Å³ per atom: 20.00

Cell: 4.880 6.715 7.710 Å, 90.00 108.22 90.00°
Fractional positions:
Ru 0.670 0.000 0.339
Ru 0.000 0.500 0.000
Ru 0.666 0.500 0.331
Ru 0.334 0.500 0.669
Ru 0.330 0.000 0.661
Pu 0.829 0.253 0.658
Pu 0.500 0.740 0.000
Pu 0.500 0.260 0.000
Pu 0.171 0.253 0.342
Pu 0.171 0.747 0.342
Pu 0.829 0.747 0.658
Au 0.000 0.000 0.000